1.
Below is an optimized crystal structure of PrNi4Sb4, with properties calculated at the GGA-PBE level.

Calculated values
DOS(E_F): 0.5411 states/eV per atom
Energy relative to the elements, uncorrected: -0.312 eV per atom
Magnetic moment: 0.0 μB per formula unit

Unit cell a=6.550 b=6.550 c=8.275 alpha=90.00 beta=90.00 gamma=90.00
Space group P4_2/nmc (No. 137, origin choice 2)
Inequivalent atoms, fractional coordinates:
Pr: 0.250 0.750 0.250 [2 per cell]
Ni: 0.057 0.250 0.099 [8 per cell]
Sb: 0.005 0.250 0.403 [8 per cell]

2.
Below is an optimized crystal structure of Pr3Ni3Sb4, with properties calculated at the GGA-PBE level.

Calculated values
DOS(E_F): 0.9316 states/eV per atom
Energy relative to the elements, uncorrected: -0.792 eV per atom
Magnetic moment: 0.0 μB per formula unit

Unit cell a=9.711 b=9.711 c=9.711 alpha=90.00 beta=90.00 gamma=90.00
Space group I-43d (No. 220)
Inequivalent atoms, fractional coordinates:
Pr: 0.000 0.250 0.875 [12 per cell]
Ni: 0.000 0.250 0.375 [12 per cell]
Sb: 0.075 0.425 0.575 [16 per cell]

3.
Below is an optimized crystal structure of Pr8NiSb2, with properties calculated at the GGA-PBE level.

Calculated values
DOS(E_F): 1.0932 states/eV per atom
Energy relative to the elements, uncorrected: -0.429 eV per atom
Magnetic moment: 0.0 μB per formula unit

Unit cell a=19.048 b=4.645 c=8.033 alpha=90.00 beta=98.44 gamma=90.00
Space group C2/m (No. 12)
Inequivalent atoms, fractional coordinates:
Pr: 0.004 0.000 0.290 [4 per cell]
Pr: 0.093 0.500 0.014 [4 per cell]
Pr: 0.150 0.500 0.523 [4 per cell]
Pr: 0.212 0.000 0.851 [4 per cell]
Ni: 0.000 0.500 0.500 [2 per cell]
Sb: 0.183 0.000 0.261 [4 per cell]

4.
Below is an optimized crystal structure of PrNi9Sb2, with properties calculated at the GGA-PBE level.

Calculated values
DOS(E_F): 1.1151 states/eV per atom
Energy relative to the elements, uncorrected: -0.138 eV per atom
Magnetic moment: 1.8 μB per formula unit

Unit cell a=4.9818 b=4.9818 c=23.8098 alpha=90.00 beta=90.00 gamma=120.00
Space group R-3m (No. 166, hexagonal axes)
Inequivalent atoms, fractional coordinates:
Pr: 0.0000 0.0000 0.0000 [3 per cell]
Ni: 0.0000 0.0000 0.3337 [6 per cell]
Ni: 0.0000 0.0000 0.5000 [3 per cell]
Ni: 0.0035 0.5018 0.9147 [18 per cell]
Sb: 0.0000 0.0000 0.1362 [6 per cell]

5.
Below is an optimized crystal structure of PrNi2Sb, with properties calculated at the GGA-PBE level.

Calculated values
DOS(E_F): 0.7562 states/eV per atom
Energy relative to the elements, uncorrected: -0.507 eV per atom
Magnetic moment: 0.0 μB per formula unit

Unit cell a=4.3355 b=4.3355 c=14.5747 alpha=90.00 beta=90.00 gamma=120.00
Space group R-3m (No. 166, hexagonal axes)
Inequivalent atoms, fractional coordinates:
Pr: 0.0000 0.0000 0.0000 [3 per cell]
Ni: 0.0000 0.0000 0.2014 [6 per cell]
Sb: 0.0000 0.0000 0.5000 [3 per cell]

6.
Below is an optimized crystal structure of Pr2NiSb, with properties calculated at the GGA-PBE level.

Calculated values
DOS(E_F): 0.9996 states/eV per atom
Energy relative to the elements, uncorrected: -0.063 eV per atom
Magnetic moment: 0.0 μB per formula unit

Unit cell a=3.9227 b=3.9227 c=28.9366 alpha=90.00 beta=90.00 gamma=120.00
Space group R-3m (No. 166, hexagonal axes)
Inequivalent atoms, fractional coordinates:
Pr: 0.0000 0.0000 0.1098 [6 per cell]
Ni: 0.0000 0.0000 0.5000 [3 per cell]
Sb: 0.0000 0.0000 0.0000 [3 per cell]

7.
Below is an optimized crystal structure of PrNi5Sb3, with properties calculated at the GGA-PBE level.

Calculated values
DOS(E_F): 0.7188 states/eV per atom
Energy relative to the elements, uncorrected: -0.381 eV per atom
Magnetic moment: 0.0 μB per formula unit

Unit cell a=4.044 b=12.869 c=12.301 alpha=90.00 beta=90.00 gamma=90.00
Space group Cmcm (No. 63)
Inequivalent atoms, fractional coordinates:
Pr: 0.000 0.182 0.250 [4 per cell]
Ni: 0.000 0.000 0.000 [4 per cell]
Ni: 0.000 0.186 0.568 [8 per cell]
Ni: 0.000 0.455 0.144 [8 per cell]
Sb: 0.000 0.099 0.750 [4 per cell]
Sb: 0.000 0.375 0.545 [8 per cell]

8.
Below is an optimized crystal structure of PrNiSb3, with properties calculated at the GGA-PBE level.

Calculated values
DOS(E_F): 0.4088 states/eV per atom
Energy relative to the elements, uncorrected: -0.570 eV per atom
Magnetic moment: 0.0 μB per formula unit

Unit cell a=12.870 b=6.215 c=6.126 alpha=90.00 beta=90.00 gamma=90.00
Space group Pbcm (No. 57)
Inequivalent atoms, fractional coordinates:
Pr: 0.196 0.001 0.250 [4 per cell]
Ni: 0.404 0.250 0.000 [4 per cell]
Sb: 0.002 0.250 0.000 [4 per cell]
Sb: 0.285 0.502 0.250 [4 per cell]
Sb: 0.450 0.598 0.750 [4 per cell]

9.
Below is an optimized crystal structure of Pr3NiSb, with properties calculated at the GGA-PBE level.

Calculated values
DOS(E_F): 1.1956 states/eV per atom
Energy relative to the elements, uncorrected: -0.552 eV per atom
Magnetic moment: 0.0 μB per formula unit

Unit cell a=4.181 b=8.243 c=8.719 alpha=88.86 beta=89.97 gamma=75.32
Space group P-1 (No. 2)
Inequivalent atoms, fractional coordinates:
Pr: 0.040 0.421 0.197 [2 per cell]
Pr: 0.249 0.002 0.791 [2 per cell]
Pr: 0.393 0.712 0.454 [2 per cell]
Ni: 0.215 0.071 0.443 [2 per cell]
Sb: 0.389 0.724 0.068 [2 per cell]

10.
Below is an optimized crystal structure of PrNi4Sb2, with properties calculated at the GGA-PBE level.

Calculated values
DOS(E_F): 0.7483 states/eV per atom
Energy relative to the elements, uncorrected: -0.402 eV per atom
Magnetic moment: 0.0 μB per formula unit

Unit cell a=4.2395 b=4.2395 c=23.7251 alpha=90.00 beta=90.00 gamma=120.00
Space group R-3m (No. 166, hexagonal axes)
Inequivalent atoms, fractional coordinates:
Pr: 0.0000 0.0000 0.0000 [3 per cell]
Ni: 0.0000 0.0000 0.1403 [6 per cell]
Ni: 0.0000 0.0000 0.4454 [6 per cell]
Sb: 0.0000 0.0000 0.2463 [6 per cell]

11.
Below is an optimized crystal structure of PrNi2Sb2, with properties calculated at the GGA-PBE level.

Calculated values
DOS(E_F): 0.5759 states/eV per atom
Energy relative to the elements, uncorrected: -0.649 eV per atom
Magnetic moment: 0.0 μB per formula unit

Unit cell a=4.495 b=4.495 c=10.043 alpha=90.00 beta=90.00 gamma=90.00
Space group P4/nmm (No. 129, origin choice 2)
Inequivalent atoms, fractional coordinates:
Pr: 0.250 0.250 0.239 [2 per cell]
Ni: 0.250 0.250 0.624 [2 per cell]
Ni: 0.250 0.750 0.000 [2 per cell]
Sb: 0.250 0.250 0.874 [2 per cell]
Sb: 0.250 0.750 0.500 [2 per cell]

12.
Below is an optimized crystal structure of PrNiSb, with properties calculated at the GGA-PBE level.

Calculated values
DOS(E_F): 0.5020 states/eV per atom
Energy relative to the elements, uncorrected: -0.812 eV per atom
Magnetic moment: 0.0 μB per formula unit

Unit cell a=4.3779 b=4.3779 c=4.2298 alpha=90.00 beta=90.00 gamma=120.00
Space group P-6m2 (No. 187)
Inequivalent atoms, fractional coordinates:
Pr: 0.0000 0.0000 0.0000 [1 per cell]
Ni: 0.3333 0.6667 0.5000 [1 per cell]
Sb: 0.6667 0.3333 0.5000 [1 per cell]

> Which value of energy relative to the elements, uncorrected does entry 9 give?

-0.552 eV per atom

> Look up the magnetic moment of the fifth one.

0.0 μB per formula unit

> Which value of energy relative to the elements, uncorrected does entry 11 give?

-0.649 eV per atom